RbGaOs, relaxed, DFT PBE-GGA; calculated volume = 23.51 Å³ per atom; distance to the lowest polymorph of the same formula = 0.00 kcal/mol of atoms; crystal system = cubic
1.0
0.0000 3.2793 3.2793
3.2793 0.0000 3.2793
3.2793 3.2793 0.0000
Rb Ga Os
1 1 1
Cartesian
0.0000 0.0000 0.0000
3.2793 3.2793 3.2793
4.9190 4.9190 4.9190

=====

Dy2Ho2CIBr2Cl2, relaxed, DFT PBE-GGA; calculated volume = 27.40 Å³ per atom; distance to the lowest polymorph of the same formula = 0.02 kcal/mol of atoms; crystal system = monoclinic
1.0
8.7800 -1.9086 0.0000
8.7800 1.9086 0.0000
-1.9825 0.0000 8.1741
Dy Ho C I Br Cl
2 2 1 1 2 2
Cartesian
2.3151 0.0000 0.6135
13.2624 0.0000 7.5606
8.4029 0.0000 1.5668
7.1746 0.0000 6.6074
0.0000 0.0000 0.0000
-0.9913 0.0000 4.0871
5.4649 0.0000 1.3204
10.1127 0.0000 6.8538
4.6036 0.0000 5.6236
10.9739 0.0000 2.5506

=====

TaRe4, relaxed, DFT PBE-GGA; calculated volume = 15.68 Å³ per atom; DFT total energy = -12.321 eV per atom; crystal system = tetragonal
1.0
9.6779 0.0000 0.0000
0.0000 9.6779 0.0000
0.0000 0.0000 5.0209
Ta Re
6 24
Cartesian
0.0000 0.0000 0.0000
1.0314 1.0314 2.5105
3.8076 5.8703 0.0000
4.8390 4.8390 2.5105
5.8703 3.8076 0.0000
8.6466 8.6466 2.5105
0.3062 3.5671 2.5105
0.6303 2.5835 0.0000
1.2719 5.1451 0.0000
1.7739 7.9040 1.2613
1.7739 7.9040 3.7596
2.2554 5.4692 2.5105
2.5835 0.6303 0.0000
3.0650 3.0650 1.2492
3.0650 3.0650 3.7718
3.5671 0.3062 2.5105
4.2087 7.4225 2.5105
4.5328 8.4061 0.0000
5.1451 1.2719 0.0000
5.4692 2.2554 2.5105
6.1108 9.3718 2.5105
6.6129 6.6129 1.2492
6.6129 6.6129 3.7718
7.0944 9.0476 0.0000
7.4225 4.2087 2.5105
7.9040 1.7739 1.2613
7.9040 1.7739 3.7596
8.4061 4.5328 0.0000
9.0476 7.0944 0.0000
9.3718 6.1108 2.5105